[1]
A geometry-optimized TcOs2Pt structure. Source: the Alexandria database, functional PBE.

Geometry as extended XYZ:
```
4
Lattice="2.7284 0.0000 0.0000 0.0000 3.9171 0.0000 0.0000 0.0000 5.4808" Properties=species:S:1:pos:R:3 pbc="T T T"
Tc 0.0000 0.0000 0.0000
Os 0.0000 0.0000 2.6188
Os 1.3642 1.9585 1.3522
Pt 1.3642 1.9585 4.0743
```

energy relative to the elements = 0.0287 eV/atom
magnetization = 0.00 μB/cell
energy relative to the lowest polymorph listed for this composition = 0.0 kJ per mole of atoms

[2]
A geometry-optimized LiNdTh2Se4 structure. Source: the Alexandria database, functional PBE.

Geometry as extended XYZ:
```
8
Lattice="7.1175 0.0000 0.0000 0.0000 4.1038 0.0000 -2.3329 0.0000 6.9844" Properties=species:S:1:pos:R:3 pbc="T T T"
Li 0.0000 0.0000 0.0000
Nd 3.5588 2.0519 0.0000
Th -1.1665 2.0519 3.4922
Th 2.3923 0.0000 3.4922
Se 1.1183 2.0519 1.6449
Se -0.0725 0.0000 5.3126
Se 4.8570 0.0000 1.6719
Se 3.6663 2.0519 5.3395
```

magnetization = 0.00 μB/cell
formation energy from raw total energies = -1584 meV per atom

[3]
A geometry-optimized NbTcAs2 structure. Source: the Alexandria database, functional PBE.

Geometry as extended XYZ:
```
4
Lattice="0.0000 3.1519 3.1519 3.1519 0.0000 3.1519 3.1519 3.1519 0.0000" Properties=species:S:1:pos:R:3 pbc="T T T"
Nb 0.0000 0.0000 0.0000
Tc 3.1519 3.1519 3.1519
As 1.5760 1.5760 1.5760
As 4.7279 4.7279 4.7279
```

energy relative to the elements = -0.1703 eV/atom
magnetization = 0.00 μB/cell
energy relative to the lowest polymorph listed for this composition = 0.0 kJ per mole of atoms

[4]
A geometry-optimized Tm4Tl2InHg structure. Source: the Alexandria database, functional PBE.

Geometry as extended XYZ:
```
8
Lattice="2.6376 1.5228 8.6036 -2.6376 1.5228 8.6036 0.0000 -3.0456 8.6036" Properties=species:S:1:pos:R:3 pbc="T T T"
Tm 0.0000 0.0000 3.1938
Tm 0.0000 0.0000 9.6486
Tm 0.0000 0.0000 16.1623
Tm 0.0000 0.0000 22.6171
Tl 0.0000 0.0000 6.4572
Tl 0.0000 0.0000 19.3537
In 0.0000 0.0000 12.9054
Hg 0.0000 0.0000 0.0000
```

energy relative to the elements = -0.3640 eV/atom
magnetization = 0.00 μB/cell

[5]
A geometry-optimized SrLiAl2 structure. Source: the Alexandria database, functional PBE.

Geometry as extended XYZ:
```
4
Lattice="0.0000 3.6247 3.6247 3.6247 0.0000 3.6247 3.6247 3.6247 0.0000" Properties=species:S:1:pos:R:3 pbc="T T T"
Sr 0.0000 0.0000 0.0000
Li 3.6247 3.6247 3.6247
Al 1.8124 1.8124 1.8124
Al 5.4371 5.4371 5.4371
```

energy relative to the elements = 0.0236 eV/atom
magnetization = 0.00 μB/cell
energy relative to the lowest polymorph listed for this composition = 21.0 kJ per mole of atoms

[6]
A geometry-optimized MnBPd4 structure. Source: the Alexandria database, functional PBE.

Geometry as extended XYZ:
```
12
Lattice="-3.6953 3.6953 3.6385 3.6953 -3.6953 3.6385 3.6953 3.6953 -3.6385" Properties=species:S:1:pos:R:3 pbc="T T T"
Mn 0.0000 0.0000 0.0000
Mn 0.0000 3.6953 1.8192
B 3.6953 0.0000 1.9964
B 0.0000 0.0000 3.8157
Pd 2.3465 0.0000 0.4089
Pd 5.0440 0.0000 0.4089
Pd 3.6953 2.3465 -1.4104
Pd 1.4916 3.6953 -0.1863
Pd 2.2037 0.0000 3.4522
Pd 0.0000 1.3488 2.2281
Pd 3.6953 2.2037 1.6330
Pd 0.0000 1.4916 5.2715
```

energy relative to the elements = 0.1882 eV/atom
magnetization = 8.85 μB/cell

[7]
A geometry-optimized Cr2SiW structure. Source: the Alexandria database, functional PBE.

Geometry as extended XYZ:
```
4
Lattice="4.0886 0.0000 0.0000 0.0000 3.1349 0.0000 -0.0100 0.0000 4.1023" Properties=species:S:1:pos:R:3 pbc="T T T"
Cr 0.0000 0.0000 0.0000
Cr -0.0050 1.5675 2.0511
Si 2.0393 0.0000 2.0511
W 2.0443 1.5675 0.0000
```

magnetization = 1.44 μB/cell
formation energy from raw total energies = 32 meV per atom

[8]
A geometry-optimized Sc2CrOs structure. Source: the Alexandria database, functional PBE.

Geometry as extended XYZ:
```
4
Lattice="0.0000 3.1867 3.1867 3.1867 0.0000 3.1867 3.1867 3.1867 0.0000" Properties=species:S:1:pos:R:3 pbc="T T T"
Sc 0.0000 0.0000 0.0000
Sc 1.5933 1.5933 1.5933
Cr 3.1867 3.1867 3.1867
Os 4.7800 4.7800 4.7800
```

energy relative to the elements = 0.0702 eV/atom
magnetization = 0.00 μB/cell
energy relative to the lowest polymorph listed for this composition = 20.7 kJ per mole of atoms